# 1
A plane-wave DFT calculation with meta-GGA SCAN was carried out for a PBEsol-optimized structure of Zn5Pt.

Results
total moment: 0.000 μB per formula unit
ΔE_f: -247 meV/atom
symmetry: No. 8

a b c (Å): 2.7907 5.0793 6.3256
angles (deg): 103.88 90.00 105.94
Last column: nearest neighbours and their distance in Å.
Element x y z (fractional)
Pt (0.9969, 0.9938, 0.9965)  10 Zn 2.65-2.74, 2 Pt 2.79
Zn (0.7186, 0.4372, 0.9461)  9 Zn 2.63-2.79, 3 Pt 2.66
Zn (0.0565, 0.1130, 0.6093)  1 Pt 2.65, 11 Zn 2.65-2.79
Zn (0.6671, 0.3342, 0.3356)  10 Zn 2.62-2.79, 2 Pt 2.74
Zn (0.3918, 0.7835, 0.2786)  10 Zn 2.62-2.79, 2 Pt 2.66
Zn (0.3358, 0.6715, 0.6672)  10 Zn 2.65-2.79, 2 Pt 2.67


# 2
A plane-wave DFT calculation with meta-GGA SCAN was carried out for a PBEsol-optimized structure of Cd2Ru2O7.

Results
total moment: 0.001 μB per formula unit
symmetry: No. 227
VASP energy: -16.972 eV/atom

a b c (Å): 7.1330 7.1330 7.1330
angles (deg): 60.00 60.00 60.00
Last column: nearest neighbours and their distance in Å.
Element x y z (fractional)
Ru (0.6250, 0.1250, 0.1250)  6 O 1.91
Ru (0.1250, 0.6250, 0.1250)  6 O 1.91
Ru (0.1250, 0.1250, 0.1250)  6 O 1.91
Ru (0.1250, 0.1250, 0.6250)  6 O 1.91
O (0.5000, 0.5000, 0.5000)  4 Cd 2.18
O (0.1938, 0.8062, 0.8062)  2 Ru 1.91
O (0.1938, 0.8062, 0.1938)  2 Ru 1.91
O (0.7500, 0.7500, 0.7500)  4 Cd 2.18
O (0.8062, 0.1938, 0.8062)  2 Ru 1.91
O (0.4438, 0.4438, 0.0562)  2 Ru 1.91
O (0.1938, 0.1938, 0.8062)  2 Ru 1.91
O (0.0562, 0.0562, 0.4438)  2 Ru 1.91
O (0.4438, 0.0562, 0.4438)  2 Ru 1.91
O (0.0562, 0.4438, 0.0562)  2 Ru 1.91
O (0.0562, 0.4438, 0.4438)  2 Ru 1.91
O (0.8062, 0.1938, 0.1938)  2 Ru 1.91
O (0.8062, 0.8062, 0.1938)  2 Ru 1.91
O (0.4438, 0.0562, 0.0562)  2 Ru 1.91
Cd (0.6250, 0.6250, 0.6250)  2 O 2.18
Cd (0.6250, 0.6250, 0.1250)  2 O 2.18
Cd (0.1250, 0.6250, 0.6250)  2 O 2.18
Cd (0.6250, 0.1250, 0.6250)  2 O 2.18


# 3
A plane-wave DFT calculation with meta-GGA SCAN was carried out for a PBEsol-optimized structure of NpO2.

Results
total moment: 3.000 μB per formula unit
symmetry: No. 225
VASP energy: -43.010 eV/atom

a b c (Å): 3.7612 3.7612 3.7612
angles (deg): 60.00 60.00 60.00
Last column: nearest neighbours and their distance in Å.
Element x y z (fractional)
O (0.7500, 0.7500, 0.7500)  4 Np 2.30
O (0.2500, 0.2500, 0.2500)  4 Np 2.30
Np (0.5000, 0.5000, 0.5000)  8 O 2.30